(1)
# PBE MgCuRuC, optimized geometry
# - distance to the lowest polymorph of the same formula (kJ per mole of atoms) = 6.58
# - total energy (eV per cell) = -23.02
# - density of states at the Fermi level (states/eV/atom) = 0.200
# - E_form (meV per atom) = 292
data_MgCuRuC
_cell_length_a 7.0259
_cell_length_b 7.0259
_cell_length_c 7.0259
_cell_angle_alpha 24.15
_cell_angle_beta 24.15
_cell_angle_gamma 24.15
_symmetry_space_group_name_H-M 'P 1'
_symmetry_Int_Tables_number 1
loop_
_symmetry_equiv_pos_as_xyz
'x,y,z'
loop_
_atom_site_label
_atom_site_type_symbol
_atom_site_fract_x
_atom_site_fract_y
_atom_site_fract_z
_atom_site_occupancy
Mg1 Mg 0.0000 0.0000 0.0000 1
Cu1 Cu 0.7709 0.7709 0.7709 1
Ru1 Ru 0.2099 0.2099 0.2099 1
C1 C 0.5971 0.5971 0.5971 1

---

(2)
# PBE B2TeP, optimized geometry
# - distance to the lowest polymorph of the same formula (kJ per mole of atoms) = 22.02
# - total energy (eV per cell) = -20.03
# - density of states at the Fermi level (states/eV/atom) = 0.292
data_B2TeP
_cell_length_a 3.4584
_cell_length_b 3.4584
_cell_length_c 7.4996
_cell_angle_alpha 98.83
_cell_angle_beta 98.83
_cell_angle_gamma 58.05
_symmetry_space_group_name_H-M 'P 1'
_symmetry_Int_Tables_number 1
loop_
_symmetry_equiv_pos_as_xyz
'x,y,z'
loop_
_atom_site_label
_atom_site_type_symbol
_atom_site_fract_x
_atom_site_fract_y
_atom_site_fract_z
_atom_site_occupancy
B1 B 0.0000 0.0000 0.0000 1
B2 B 0.1270 0.1270 0.8248 1
Te1 Te 0.0953 0.0953 0.5432 1
P1 P 0.3496 0.3496 0.0463 1

---

(3)
# PBE Nd3Ho5Tl, optimized geometry
# - total energy (eV per cell) = -75.86
# - density of states at the Fermi level (states/eV/atom) = 1.306
# - E_form (meV per atom) = 181
data_Nd3Ho5Tl
_cell_length_a 9.5490
_cell_length_b 9.5490
_cell_length_c 9.5490
_cell_angle_alpha 122.37
_cell_angle_beta 122.37
_cell_angle_gamma 85.94
_symmetry_space_group_name_H-M 'P 1'
_symmetry_Int_Tables_number 1
loop_
_symmetry_equiv_pos_as_xyz
'x,y,z'
loop_
_atom_site_label
_atom_site_type_symbol
_atom_site_fract_x
_atom_site_fract_y
_atom_site_fract_z
_atom_site_occupancy
Nd1 Nd 0.1179 0.6179 0.7358 1
Nd2 Nd 0.2500 0.2500 0.0000 1
Nd3 Nd 0.3821 0.1179 0.5000 1
Nd4 Nd 0.6179 0.8821 0.5000 1
Nd5 Nd 0.7500 0.7500 0.0000 1
Nd6 Nd 0.8821 0.3821 0.2642 1
Ho1 Ho 0.0000 0.0000 0.0000 1
Ho2 Ho 0.0551 0.1726 0.5000 1
Ho3 Ho 0.1726 0.6726 0.1175 1
Ho4 Ho 0.3274 0.4449 0.5000 1
Ho5 Ho 0.4449 0.9449 0.1175 1
Ho6 Ho 0.5000 0.5000 0.0000 1
Ho7 Ho 0.5551 0.0551 0.8825 1
Ho8 Ho 0.6726 0.5551 0.5000 1
Ho9 Ho 0.8274 0.3274 0.8825 1
Ho10 Ho 0.9449 0.8274 0.5000 1
Tl1 Tl 0.2500 0.7500 0.5000 1
Tl2 Tl 0.7500 0.2500 0.5000 1

---

(4)
# PBE KCdSbMo2, optimized geometry
# - total energy (eV per cell) = -14.78
# - density of states at the Fermi level (states/eV/atom) = 1.049
data_KCdSbMo2
_cell_length_a 4.7594
_cell_length_b 4.7594
_cell_length_c 5.5539
_cell_angle_alpha 90.00
_cell_angle_beta 90.00
_cell_angle_gamma 90.00
_symmetry_space_group_name_H-M 'P 1'
_symmetry_Int_Tables_number 1
loop_
_symmetry_equiv_pos_as_xyz
'x,y,z'
loop_
_atom_site_label
_atom_site_type_symbol
_atom_site_fract_x
_atom_site_fract_y
_atom_site_fract_z
_atom_site_occupancy
K1 K 0.0000 0.0000 0.0000 1
Cd1 Cd 0.5000 0.5000 0.5000 1
Sb1 Sb 0.0000 0.0000 0.5000 1
Mo1 Mo 0.0000 0.5000 0.0000 1
Mo2 Mo 0.5000 0.0000 0.0000 1

---

(5)
# PBE CsTe2PPd, optimized geometry
# - total energy (eV per cell) = -18.20
# - density of states at the Fermi level (states/eV/atom) = 0.433
data_CsTe2PPd
_cell_length_a 5.6830
_cell_length_b 5.6830
_cell_length_c 4.6657
_cell_angle_alpha 90.00
_cell_angle_beta 90.00
_cell_angle_gamma 90.00
_symmetry_space_group_name_H-M 'P 1'
_symmetry_Int_Tables_number 1
loop_
_symmetry_equiv_pos_as_xyz
'x,y,z'
loop_
_atom_site_label
_atom_site_type_symbol
_atom_site_fract_x
_atom_site_fract_y
_atom_site_fract_z
_atom_site_occupancy
Cs1 Cs 0.0000 0.0000 0.0000 1
Te1 Te 0.0000 0.5000 0.5000 1
Te2 Te 0.5000 0.0000 0.5000 1
P1 P 0.5000 0.5000 0.5000 1
Pd1 Pd 0.5000 0.5000 0.0000 1

---

(6)
# PBE SrOsRu2, optimized geometry
# - distance to the lowest polymorph of the same formula (kJ per mole of atoms) = 22.86
# - total energy (eV per cell) = -28.35
# - density of states at the Fermi level (states/eV/atom) = 1.267
# - E_form (meV per atom) = 777
data_SrOsRu2
_cell_length_a 5.8025
_cell_length_b 5.8025
_cell_length_c 5.8025
_cell_angle_alpha 151.36
_cell_angle_beta 128.34
_cell_angle_gamma 60.13
_symmetry_space_group_name_H-M 'P 1'
_symmetry_Int_Tables_number 1
loop_
_symmetry_equiv_pos_as_xyz
'x,y,z'
loop_
_atom_site_label
_atom_site_type_symbol
_atom_site_fract_x
_atom_site_fract_y
_atom_site_fract_z
_atom_site_occupancy
Sr1 Sr 0.0000 0.0000 0.0000 1
Os1 Os 0.5000 0.5000 0.0000 1
Ru1 Ru 0.2863 0.7863 0.5000 1
Ru2 Ru 0.7137 0.2137 0.5000 1

---

> Look up the total energy of the fifth one.

-18.20 eV per cell